The following is a PBE calculation of a relaxed BaCu2Rh2 crystal, from the Alexandria database.

Values from the calculation:
**Space group**: P4/mbm, No. 127
**Final energy**: -47.1 eV/cell
**ΔE_f**: 0.26 eV/atom

Lattice parameters (Å, degrees): 7.6780 7.6780 2.9986 90.00 90.00 90.00
With the nearest neighbours (Å) after each atom.
Element x y z (fractional)
Ba: 0.0000 0.0000 0.0000  2 Ba 3.00, 4 Cu 3.04, 8 Rh 3.25
Ba: 0.5000 0.5000 0.0000  2 Ba 3.00, 4 Cu 3.04, 8 Rh 3.25
Rh: 0.8398 0.3398 0.5000  6 Cu 2.67-2.77
Rh: 0.3398 0.1602 0.5000  6 Cu 2.67-2.77
Rh: 0.1602 0.6602 0.5000  6 Cu 2.67-2.77
Rh: 0.6602 0.8398 0.5000  6 Cu 2.67-2.77
Cu: 0.8752 0.6248 0.0000  6 Rh 2.67-2.77, 1 Cu 2.71
Cu: 0.3752 0.8752 0.0000  6 Rh 2.67-2.77, 1 Cu 2.71
Cu: 0.6248 0.1248 0.0000  6 Rh 2.67-2.77, 1 Cu 2.71
Cu: 0.1248 0.3752 0.0000  6 Rh 2.67-2.77, 1 Cu 2.71

The following is a PBE calculation of a relaxed BaSrRh2 crystal, from the Alexandria database.

Values from the calculation:
**Space group**: Amm2, No. 38
**Final energy**: -19.0 eV/cell
**ΔE_f**: -0.18 eV/atom

Lattice parameters (Å, degrees): 4.5926 4.7836 5.9244 66.17 90.00 90.00
With the nearest neighbours (Å) after each atom.
Element x y z (fractional)
Sr: 0.0000 0.4843 0.4062  2 Rh 3.08
Rh: 0.0000 0.1635 0.0484  2 Rh 2.47
Rh: 0.5000 0.0802 0.2144  2 Rh 2.47
Ba: 0.5000 0.7720 0.8310  7 Rh 3.17-3.52

The following is a PBE calculation of a relaxed LiZrSc2 crystal, from the Alexandria database.

Values from the calculation:
**Space group**: I4/mmm, No. 139
**Final energy**: -22.2 eV/cell
**ΔE_f**: 0.24 eV/atom

Lattice parameters (Å, degrees): 5.3794 5.3794 5.3794 130.02 130.02 73.38
With the nearest neighbours (Å) after each atom.
Element x y z (fractional)
Li: 0.2500 0.7500 0.5000  8 Sc 3.13, 4 Zr 3.21
Sc: 0.0000 0.0000 0.0000  4 Zr 3.13, 4 Li 3.13, 4 Sc 3.21
Sc: 0.5000 0.5000 0.0000  4 Li 3.13, 4 Zr 3.13, 4 Sc 3.21
Zr: 0.7500 0.2500 0.5000  8 Sc 3.13, 4 Li 3.21

Here are the calculated ΔE to the lowest computed polymorph numbers, same order: 14.9, 0.2, 18.3 (kJ per mole of atoms).